Compound: Sr2BeTe
Source: Alexandria
Functional: GGA-PBEsol
Structure: optimized geometry

Computed properties:
* SG: R-3m, No. 166
* formation energy (no corrections): -1.4 eV/f.u.
* ΔE to the lowest computed polymorph: 0.086 eV per atom

Cell: 4.492 4.492 8.224 Å, 74.15 74.15 60.00°
Each line ends with the local moment (μB).
Atoms (fractional coordinates):
Sr 0.249 0.249 0.253  0.04
Sr 0.751 0.751 0.747  0.04
Te 0.000 0.000 0.000  0.01
Be 0.500 0.500 0.500  0.09